No. 1
## Li2CrAu (PBE)

Data for a geometry-optimized Li2CrAu structure.

Calculated values
Formation energy   0.0471 eV per atom
ρ   6.68 g cm⁻³
Crystal system   monoclinic
Relative energy among the computed polymorphs   0.30 eV per formula unit
Space group   No. 10

Cell: 4.6508 2.9202 4.8191 Å, 86.62 90.00 90.00°
Site moments in Bohr magnetons follow the coordinates.
Sites, in units of the cell vectors:
Li: 0.0000 0.0048 0.0086  -0.02
Au: 0.5000 0.2500 0.2500  0.08
Cr: 0.5000 0.7500 0.7500  3.67
Li: 0.0000 0.4952 0.4914  -0.02

No. 2
## Y2Ho3Pt4 (PBE)

Data for a geometry-optimized Y2Ho3Pt4 structure.

Calculated values
Formation energy   -1.1875 eV per atom
ρ   11.59 g cm⁻³
Crystal system   monoclinic
Space group   No. 14

Cell: 7.5635 7.6342 7.6614 Å, 90.00 90.00 109.72°
Sites, in units of the cell vectors:
Pt: 0.8683 0.4904 0.1352
Pt: 0.6317 0.5096 0.6352
Pt: 0.1479 0.9132 0.4650
Y: 0.0738 0.1931 0.1793
Y: 0.4262 0.8069 0.6793
Ho: 0.2534 0.7567 0.1663
Y: 0.5738 0.1931 0.3207
Pt: 0.1317 0.5096 0.8648
Pt: 0.6479 0.9132 0.0350
Y: 0.9262 0.8069 0.8207
Ho: 0.5000 0.5000 0.0000
Pt: 0.8521 0.0868 0.5350
Ho: 0.0000 0.5000 0.5000
Pt: 0.3521 0.0868 0.9650
Ho: 0.7466 0.2433 0.8337
Pt: 0.3683 0.4904 0.3648
Ho: 0.7534 0.7567 0.3337
Ho: 0.2466 0.2433 0.6663